(1)
3
Lattice="2.9104 0.0000 0.0000 0.0000 3.2838 0.0000 -1.4552 -1.6419 5.5549" Properties=species:S:1:pos:R:3 comment="SrMnFe PBEsol optimized geometry" total_energy_ev_per_atom=-6.144 formation_enthalpy_0k_ev_per_fu=2.1 pbc="T T T"
Fe 0.0000 0.0000 0.5931
Mn 1.4552 1.6419 1.2444
Sr 0.0000 0.0000 3.7174


(2)
5
Lattice="4.7645 0.0000 0.0000 0.0000 5.1329 0.0000 0.0000 0.0000 5.1329" Properties=species:S:1:pos:R:3 comment="InFeMoSe2 PBEsol optimized geometry" total_energy_ev_per_atom=-4.627 raw_formation_energy_ev_per_atom=1.655 pbc="T T T"
Mo 2.3823 2.5664 2.5664
Fe 2.3823 0.0000 0.0000
Se 0.0000 0.0000 2.5664
Se 0.0000 2.5664 0.0000
In 0.0000 0.0000 0.0000